Material: Hg2PW
Method: DFT, PBE
State: optimized geometry

Cell: 7.9094 7.9094 5.1571 Å, 90.00 90.00 90.00°
Last column: nearest neighbours and their distance in Å.
Fractional positions:
Hg1 0.2257 0.2500 0.1250  2 Hg 2.61, 2 P 2.74
Hg2 0.2500 0.7257 0.3750  2 Hg 2.61, 2 P 2.74
Hg3 0.2500 0.7743 0.8750  2 Hg 2.61, 2 P 2.74
Hg4 0.2743 0.2500 0.6250  2 Hg 2.61, 2 P 2.74
Hg5 0.7257 0.7500 0.6250  2 Hg 2.61, 2 P 2.74
Hg6 0.7500 0.2257 0.8750  2 Hg 2.61, 2 P 2.74
Hg7 0.7500 0.2743 0.3750  2 Hg 2.61, 2 P 2.74
Hg8 0.7743 0.7500 0.1250  2 Hg 2.61, 2 P 2.74
P1 0.0000 0.0000 0.0000  2 W 2.58, 4 Hg 2.74
P2 0.0000 0.5000 0.2500  2 W 2.58, 4 Hg 2.74
P3 0.5000 0.0000 0.7500  2 W 2.58, 4 Hg 2.74
P4 0.5000 0.5000 0.5000  2 W 2.58, 4 Hg 2.74
W1 0.0000 0.0000 0.5000  2 P 2.58
W2 0.0000 0.5000 0.7500  2 P 2.58
W3 0.5000 0.0000 0.2500  2 P 2.58
W4 0.5000 0.5000 0.0000  2 P 2.58

Symmetry: I-42d, No. 122
Size of the total moment in μB per cell: 5.5
E_form in meV per atom: 1010

Material: Hg2PW
Method: DFT, PBE
State: optimized geometry

Cell: 3.1692 3.1257 8.0497 Å, 90.00 101.09 90.00°
Last column: nearest neighbours and their distance in Å.
Fractional positions:
Hg1 0.0000 0.0000 0.0000  6 Hg 3.03-3.17, 4 P 3.09-3.10, 1 W 3.24
Hg2 0.1745 0.5000 0.3280  6 Hg 3.03-3.17, 4 W 3.03-3.04, 1 P 3.16
P1 0.3706 0.5000 0.7278  4 W 2.48
W1 0.8043 0.0000 0.5896  4 P 2.48

Symmetry: Pm, No. 6
Size of the total moment in μB per cell: 0.0
E_form in meV per atom: 229

Material: HgP4W
Method: DFT, PBE
State: optimized geometry

Cell: 5.1206 5.1206 5.1206 Å, 60.00 60.00 60.00°
Last column: nearest neighbours and their distance in Å.
Fractional positions:
Hg1 0.0000 0.0000 0.0000  12 P 3.01, 4 W 3.14
P1 0.3792 0.3792 0.3792  6 P 2.47-2.65
P2 0.3792 0.3792 0.8624  6 P 2.47-2.65
P3 0.3792 0.8624 0.3792  6 P 2.47-2.65
P4 0.8624 0.3792 0.3792  6 P 2.47-2.65
W1 0.7500 0.7500 0.7500  12 P 2.99, 4 Hg 3.14

Symmetry: F-43m, No. 216
Size of the total moment in μB per cell: 0.0
E_form in meV per atom: 994

Material: Hg2PW
Method: DFT, PBE
State: optimized geometry

Cell: 5.1300 5.1300 2.9041 Å, 90.00 90.00 90.00°
Last column: nearest neighbours and their distance in Å.
Fractional positions:
Hg1 0.0000 0.5000 0.0000  2 Hg 2.90, 4 W 2.95, 4 P 2.95
Hg2 0.5000 0.0000 0.0000  2 Hg 2.90, 4 W 2.95, 4 P 2.95
P1 0.0000 0.0000 0.5000  2 P 2.90, 8 Hg 2.95
W1 0.5000 0.5000 0.5000  2 W 2.90, 8 Hg 2.95

Symmetry: P4/mmm, No. 123
Size of the total moment in μB per cell: 0.0
E_form in meV per atom: 1056

Material: Hg2PW
Method: DFT, PBE
State: optimized geometry

Cell: 3.0440 3.0440 28.2394 Å, 90.00 90.00 120.00°
Last column: nearest neighbours and their distance in Å.
Fractional positions:
Hg1 0.0000 0.0000 0.2499  3 W 2.93, 3 P 2.94, 6 Hg 3.04
Hg2 0.0000 0.0000 0.7501  3 W 2.93, 3 P 2.94, 6 Hg 3.04
Hg3 0.3333 0.6667 0.4168  3 W 2.93, 3 P 2.94, 6 Hg 3.04
Hg4 0.3333 0.6667 0.9165  3 W 2.93, 3 P 2.94, 6 Hg 3.04
Hg5 0.6667 0.3333 0.0835  3 W 2.93, 3 P 2.94, 6 Hg 3.04
Hg6 0.6667 0.3333 0.5832  3 W 2.93, 3 P 2.94, 6 Hg 3.04
P1 0.0000 0.0000 0.0000  6 Hg 2.94, 6 P 3.04
P2 0.3333 0.6667 0.6667  6 Hg 2.94, 6 P 3.04
P3 0.6667 0.3333 0.3333  6 Hg 2.94, 6 P 3.04
W1 0.0000 0.0000 0.5000  6 Hg 2.93, 6 W 3.04
W2 0.3333 0.6667 0.1667  6 Hg 2.93, 6 W 3.04
W3 0.6667 0.3333 0.8333  6 Hg 2.93, 6 W 3.04

Symmetry: R-3m, No. 166
Size of the total moment in μB per cell: 0.0
E_form in meV per atom: 863

Material: Hg2PW
Method: DFT, PBE
State: optimized geometry

Cell: 4.1950 4.1950 8.3538 Å, 90.00 90.00 90.00°
Last column: nearest neighbours and their distance in Å.
Fractional positions:
Hg1 0.0000 0.0000 0.0000  4 Hg 2.96, 4 P 2.96, 4 W 2.97
Hg2 0.0000 0.5000 0.2500  4 Hg 2.96, 4 W 2.96, 4 P 2.97
Hg3 0.5000 0.0000 0.7500  4 Hg 2.96, 4 W 2.96, 4 P 2.97
Hg4 0.5000 0.5000 0.5000  4 Hg 2.96, 4 P 2.96, 4 W 2.97
P1 0.0000 0.5000 0.7500  8 Hg 2.96-2.97, 4 W 2.96
P2 0.5000 0.0000 0.2500  8 Hg 2.96-2.97, 4 W 2.96
W1 0.0000 0.0000 0.5000  8 Hg 2.96-2.97, 4 P 2.96
W2 0.5000 0.5000 0.0000  8 Hg 2.96-2.97, 4 P 2.96

Symmetry: I-4m2, No. 119
Size of the total moment in μB per cell: 1.5
E_form in meV per atom: 927

Material: HgP3W
Method: DFT, PBE
State: optimized geometry

Cell: 4.7521 4.7521 4.7521 Å, 90.00 90.00 90.00°
Last column: nearest neighbours and their distance in Å.
Fractional positions:
Hg1 0.0000 0.0000 0.0000  12 P 3.36
P1 0.0000 0.5000 0.5000  2 W 2.38
P2 0.5000 0.0000 0.5000  2 W 2.38
P3 0.5000 0.5000 0.0000  2 W 2.38
W1 0.5000 0.5000 0.5000  6 P 2.38

Symmetry: Pm-3m, No. 221
Size of the total moment in μB per cell: 0.0
E_form in meV per atom: 496

Material: Hg2PW
Method: DFT, PBE
State: optimized geometry

Cell: 2.8389 5.2763 10.3677 Å, 90.00 90.00 90.00°
Last column: nearest neighbours and their distance in Å.
Fractional positions:
Hg1 0.0000 0.0000 0.2460  6 Hg 2.84-3.00, 2 W 2.92, 2 P 2.99
Hg2 0.0000 0.0000 0.7540  6 Hg 2.84-3.00, 2 W 2.92, 2 P 2.99
Hg3 0.5000 0.5000 0.2460  6 Hg 2.84-3.00, 2 W 2.92, 2 P 2.99
Hg4 0.5000 0.5000 0.7540  6 Hg 2.84-3.00, 2 W 2.92, 2 P 2.99
P1 0.0000 0.5000 0.5000  6 P 2.84-3.00, 4 Hg 2.99
P2 0.5000 0.0000 0.5000  6 P 2.84-3.00, 4 Hg 2.99
W1 0.0000 0.5000 0.0000  6 W 2.84-3.00, 4 Hg 2.92
W2 0.5000 0.0000 0.0000  6 W 2.84-3.00, 4 Hg 2.92

Symmetry: Cmmm, No. 65
Size of the total moment in μB per cell: 0.0
E_form in meV per atom: 852

| no. | raw total energy (eV for the cell shown) |
| --- | --- |
| 1 | -59.70 |
| 2 | -18.05 |
| 3 | -28.93 |
| 4 | -14.74 |
| 5 | -46.54 |
| 6 | -30.51 |
| 7 | -27.00 |
| 8 | -31.12 |